Crystalline TlAgSb2 at its relaxed geometry. Source: Alexandria, functional GGA-PBE.

Calculated values
As for the calculated total energy: -3.259 eV/atom. As for the space group: P4/mmm (123). Its total moment is 0.000 Bohr magnetons per cell. Its uncorrected formation energy is 0.1066 eV/atom.

Unit cell a=3.232 b=3.232 c=10.248 alpha=90.00 beta=90.00 gamma=90.00
Element x y z (fractional)
Sb 0.000 0.000 0.959
Sb 0.000 0.000 0.541
Tl 0.500 0.500 0.250
Ag 0.500 0.500 0.750